No. 1
VASP calculation (PBE) on crystalline AcLaYHg at its relaxed geometry.

Summary:
Electronic total energy in eV/atom: -3.9492
Energy relative to the elements in eV per atom: 0.00

Cell lengths 5.691, 5.691, 5.691 Å; angles 60.00, 60.00, 60.00 degrees
Fractional positions:
Ac  0.000  0.000  0.000
La  0.250  0.250  0.250
Y  0.750  0.750  0.750
Hg  0.500  0.500  0.500

=====

No. 2
VASP calculation (PBE) on crystalline AcLaYHg at its relaxed geometry.

Summary:
Electronic total energy in eV/atom: -4.1839
Energy relative to the elements in eV per atom: -0.23

Cell lengths 3.823, 3.823, 9.082 Å; angles 90.00, 90.00, 90.00 degrees
Fractional positions:
Ac  0.000  0.000  0.000
La  0.500  0.500  0.705
Y  0.500  0.500  0.286
Hg  0.000  0.000  0.472

=====

No. 3
VASP calculation (PBE) on crystalline AcLaZnHg at its relaxed geometry.

Summary:
Electronic total energy in eV/atom: -3.0384
Energy relative to the elements in eV per atom: -0.39

Cell lengths 3.911, 3.911, 7.788 Å; angles 90.00, 90.00, 90.00 degrees
Fractional positions:
Ac  0.000  0.000  0.000
La  0.000  0.000  0.468
Zn  0.500  0.500  0.249
Hg  0.500  0.500  0.721